# SrPN2

A relaxed SrPN2 crystal (GGA-PBE, Alexandria via LeMat-Bulk).

Computed properties:
For the polymorph energy (0 for the lowest one), the calculation gives 1.420 eV per atom. For the total magnetization, the calculation gives 4.0 μB per cell. As for the total energy: -78.3 eV/cell. The calculation puts the density of states at the Fermi level at 7.5 states/eV per cell. The calculation puts the uncorrected formation energy at 24.022 kcal/mol of atoms.

CIF file:
```
data_SrPN2
_cell_length_a 6.033
_cell_length_b 6.033
_cell_length_c 6.033
_cell_angle_alpha 90.00
_cell_angle_beta 90.00
_cell_angle_gamma 90.00
_symmetry_space_group_name_H-M 'F m -3 m'
_symmetry_Int_Tables_number 225
_symmetry_space_group_name_Hall '-F 4 2 3'
loop_
_atom_site_label
_atom_site_type_symbol
_atom_site_fract_x
_atom_site_fract_y
_atom_site_fract_z
_atom_site_occupancy
Sr1 Sr 0.000 0.000 0.000 1
P1 P 0.000 0.000 0.500 1
N1 N 0.250 0.250 0.250 1
```


# InBiTeS

A relaxed InBiTeS crystal (GGA-PBE, Alexandria via LeMat-Bulk).

Computed properties:
For the total magnetization, the calculation gives 0.0 μB per cell. As for the total energy: -29.1 eV/cell. The calculation puts the density of states at the Fermi level at 3.1 states/eV per cell. The calculation puts the uncorrected formation energy at -3.772 kcal/mol of atoms.

CIF file:
```
data_InBiTeS
_cell_length_a 6.899
_cell_length_b 3.982
_cell_length_c 9.283
_cell_angle_alpha 90.00
_cell_angle_beta 104.76
_cell_angle_gamma 90.00
_symmetry_space_group_name_H-M 'C 1 m 1'
_symmetry_Int_Tables_number 8
_symmetry_space_group_name_Hall 'C -2y'
loop_
_atom_site_label
_atom_site_type_symbol
_atom_site_fract_x
_atom_site_fract_y
_atom_site_fract_z
_atom_site_occupancy
In1 In 0.000 0.000 0.000 1
Bi1 Bi 0.268 0.500 0.293 1
Te1 Te 0.177 0.000 0.514 1
S1 S 0.120 0.500 0.862 1
```


# Cu2AsSe

A relaxed Cu2AsSe crystal (GGA-PBE, Alexandria via LeMat-Bulk).

Computed properties:
For the total magnetization, the calculation gives 0.0 μB per cell. As for the total energy: -16.1 eV/cell. The calculation puts the density of states at the Fermi level at 1.9 states/eV per cell. The calculation puts the uncorrected formation energy at 1.134 kcal/mol of atoms.

CIF file:
```
data_Cu2AsSe
_cell_length_a 2.739
_cell_length_b 3.733
_cell_length_c 6.806
_cell_angle_alpha 90.00
_cell_angle_beta 101.42
_cell_angle_gamma 90.00
_symmetry_space_group_name_H-M 'P 1 m 1'
_symmetry_Int_Tables_number 6
_symmetry_space_group_name_Hall 'P -2y'
loop_
_atom_site_label
_atom_site_type_symbol
_atom_site_fract_x
_atom_site_fract_y
_atom_site_fract_z
_atom_site_occupancy
Cu1 Cu 0.000 0.000 0.000 1
Cu2 Cu 0.402 0.500 0.799 1
As1 As 0.588 0.500 0.182 1
Se1 Se 0.796 0.000 0.603 1
```


# Th4Pb2N

A relaxed Th4Pb2N crystal (GGA-PBE, Alexandria via LeMat-Bulk).

Computed properties:
For the total magnetization, the calculation gives 0.0 μB per cell. As for the total energy: -98.8 eV/cell. The calculation puts the density of states at the Fermi level at 13.3 states/eV per cell. The calculation puts the uncorrected formation energy at -13.101 kcal/mol of atoms.

CIF file:
```
data_Th4Pb2N
_cell_length_a 4.846
_cell_length_b 4.846
_cell_length_c 17.131
_cell_angle_alpha 90.00
_cell_angle_beta 90.00
_cell_angle_gamma 90.00
_symmetry_space_group_name_H-M 'I 4/m m m'
_symmetry_Int_Tables_number 139
_symmetry_space_group_name_Hall '-I 4 2'
loop_
_atom_site_label
_atom_site_type_symbol
_atom_site_fract_x
_atom_site_fract_y
_atom_site_fract_z
_atom_site_occupancy
Th1 Th 0.000 0.000 0.163 1
Th2 Th 0.000 0.500 0.000 1
Pb1 Pb 0.000 0.000 0.356 1
N1 N 0.000 0.000 0.000 1
```